Here is a relaxed structure of LuMnAgPd from Alexandria via LeMat-Bulk. Energies are from PBE.

Properties
Energy relative to the elements   -0.295 eV/atom
Density   9.92 Mg/m³
Fermi-level density of states   10.36 states/eV per cell

Lattice parameters (Å, degrees): 6.674 6.674 6.674 90.00 90.00 90.00
Space group F-43m (No. 216)
Asymmetric unit:
Lu 0.000 0.000 0.000
Mn 0.000 0.000 0.500
Ag 0.250 0.250 0.750
Pd 0.250 0.250 0.250

***

Here is a relaxed structure of LuScMnAg from Alexandria via LeMat-Bulk. Energies are from PBE.

Properties
Energy relative to the elements   -0.012 eV/atom
Density   7.74 Mg/m³
Fermi-level density of states   25.71 states/eV per cell

Lattice parameters (Å, degrees): 6.900 6.900 6.900 90.00 90.00 90.00
Space group F-43m (No. 216)
Asymmetric unit:
Lu 0.000 0.000 0.000
Sc 0.000 0.000 0.500
Mn 0.250 0.250 0.750
Ag 0.250 0.250 0.250

***

Here is a relaxed structure of SmLuMnAg from Alexandria via LeMat-Bulk. Energies are from PBE.

Properties
Energy relative to the elements   0.005 eV/atom
Density   8.68 Mg/m³
Fermi-level density of states   16.23 states/eV per cell

Lattice parameters (Å, degrees): 7.202 7.202 7.202 90.00 90.00 90.00
Space group F-43m (No. 216)
Asymmetric unit:
Sm 0.000 0.000 0.000
Lu 0.000 0.000 0.500
Mn 0.250 0.250 0.750
Ag 0.250 0.250 0.250

***

Here is a relaxed structure of LuThMnAg from Alexandria via LeMat-Bulk. Energies are from PBE.

Properties
Energy relative to the elements   0.046 eV/atom
Density   10.21 Mg/m³
Fermi-level density of states   22.06 states/eV per cell

Lattice parameters (Å, degrees): 7.184 7.184 7.184 90.00 90.00 90.00
Space group F-43m (No. 216)
Asymmetric unit:
Lu 0.000 0.000 0.000
Th 0.000 0.000 0.500
Mn 0.250 0.250 0.750
Ag 0.250 0.250 0.250